Compound: Cs2Mo5O16
Source: Alexandria
Functional: PBE+U
Structure: relaxed

Crystal system: monoclinic
Energy: -6.7374 eV per atom

abc: 11.4087 11.4087 14.6997
angles: 120.92 120.92 28.63
With the nearest neighbours (Å) after each atom.
Positions (direct):
Cs: 0.0554 0.3827 0.3340  6 O 3.06-3.41
Cs: 0.3827 0.0554 0.8340  6 O 3.06-3.41
Cs: 0.6173 0.9446 0.1660  6 O 3.06-3.41
Cs: 0.9446 0.6173 0.6660  6 O 3.06-3.41
Mo: 0.1045 0.6792 0.0356  2 O 1.73-1.75
Mo: 0.1314 0.8686 0.7500  2 O 1.76
Mo: 0.2707 0.6078 0.3929  3 O 1.74-1.89
Mo: 0.3208 0.8955 0.4644  2 O 1.73-1.75
Mo: 0.3922 0.7293 0.1071  3 O 1.74-1.89
Mo: 0.6078 0.2707 0.8929  3 O 1.74-1.89
Mo: 0.6792 0.1045 0.5356  2 O 1.73-1.75
Mo: 0.7293 0.3922 0.6071  3 O 1.74-1.89
Mo: 0.8686 0.1314 0.2500  2 O 1.76
Mo: 0.8955 0.3208 0.9644  2 O 1.73-1.75
O: 0.0340 0.8259 0.4648  1 Mo 1.74
O: 0.0473 0.3282 0.0841  1 Mo 1.75
O: 0.0606 0.1329 0.3653  2 Mo 1.94-1.97
O: 0.1329 0.0606 0.8653  2 Mo 1.94-1.97
O: 0.1706 0.8116 0.3406  1 Mo 1.89
O: 0.1741 0.9660 0.0352  1 Mo 1.74
O: 0.1884 0.8294 0.1594  1 Mo 1.89
O: 0.2173 0.4876 0.2828  1 Mo 1.75
O: 0.2949 0.6476 0.8136  1 Mo 1.76
O: 0.3124 0.4169 0.0809  1 Mo 1.73
O: 0.3282 0.0473 0.5841  1 Mo 1.75
O: 0.3385 0.5494 0.9812  2 Mo 1.99-2.00
O: 0.3524 0.7051 0.6864  1 Mo 1.76
O: 0.4169 0.3124 0.5809  1 Mo 1.73
O: 0.4506 0.6615 0.5188  2 Mo 1.99-2.00
O: 0.4876 0.2173 0.7828  1 Mo 1.75
O: 0.5124 0.7827 0.2172  1 Mo 1.75
O: 0.5494 0.3385 0.4812  2 Mo 1.99-2.00
O: 0.5831 0.6876 0.4191  1 Mo 1.73
O: 0.6476 0.2949 0.3136  1 Mo 1.76
O: 0.6615 0.4506 0.0188  2 Mo 1.99-2.00
O: 0.6718 0.9527 0.4159  1 Mo 1.75
O: 0.6876 0.5831 0.9191  1 Mo 1.73
O: 0.7051 0.3524 0.1864  1 Mo 1.76
O: 0.7827 0.5124 0.7172  1 Mo 1.75
O: 0.8116 0.1706 0.8406  1 Mo 1.89
O: 0.8259 0.0340 0.9648  1 Mo 1.74
O: 0.8294 0.1884 0.6594  1 Mo 1.89
O: 0.8671 0.9394 0.1347  2 Mo 1.94-1.97
O: 0.9394 0.8671 0.6347  2 Mo 1.94-1.97
O: 0.9527 0.6718 0.9159  1 Mo 1.75
O: 0.9660 0.1741 0.5352  1 Mo 1.74